Record 1
Here is crystalline LaReTc at its relaxed geometry from Alexandria. Energies are from GGA-PBEsol.

```
data_LaReTc
_chemical_formula_sum 'La2 Re2 Tc2'
_cell_length_a 3.084
_cell_length_b 3.084
_cell_length_c 12.182
_cell_angle_alpha 90.00
_cell_angle_beta 90.00
_cell_angle_gamma 90.00
_symmetry_space_group_name_H-M 'I 4 m m'
_symmetry_Int_Tables_number 107
_symmetry_space_group_name_Hall 'I 4 -2'
loop_
_atom_site_label
_atom_site_type_symbol
_atom_site_fract_x
_atom_site_fract_y
_atom_site_fract_z
La1 La 0.000 0.000 0.000
Re1 Re 0.000 0.000 0.697
Tc1 Tc 0.000 0.000 0.302
```

Calculated values
Offset from the most stable computed form   0.000 eV/atom
E_form   0.6 eV/f.u.

---

Record 2
Here is crystalline CrSi2Ru at its relaxed geometry from Alexandria. Energies are from GGA-PBEsol.

```
data_CrSi2Ru
_chemical_formula_sum 'Cr4 Si8 Ru4'
_cell_length_a 6.414
_cell_length_b 6.414
_cell_length_c 5.461
_cell_angle_alpha 90.00
_cell_angle_beta 90.00
_cell_angle_gamma 90.00
_symmetry_space_group_name_H-M 'I -4 2 d'
_symmetry_Int_Tables_number 122
_symmetry_space_group_name_Hall 'I -4 2bw'
loop_
_atom_site_label
_atom_site_type_symbol
_atom_site_fract_x
_atom_site_fract_y
_atom_site_fract_z
Cr1 Cr 0.000 0.000 0.000
Si1 Si 0.243 0.750 0.625
Ru1 Ru 0.000 0.000 0.500
```

Calculated values
Energy relative to the elements, uncorrected   255 meV/atom

---

Record 3
Here is crystalline HPbClO at its relaxed geometry from Alexandria. Energies are from GGA-PBEsol.

```
data_HPbClO
_chemical_formula_sum 'H4 Pb4 Cl4 O4'
_cell_length_a 10.750
_cell_length_b 3.968
_cell_length_c 7.178
_cell_angle_alpha 90.00
_cell_angle_beta 116.65
_cell_angle_gamma 90.00
_symmetry_space_group_name_H-M 'C 1 2/m 1'
_symmetry_Int_Tables_number 12
_symmetry_space_group_name_Hall '-C 2y'
loop_
_atom_site_label
_atom_site_type_symbol
_atom_site_fract_x
_atom_site_fract_y
_atom_site_fract_z
H1 H 0.119 0.000 0.120
Pb1 Pb 0.169 0.000 0.738
Cl1 Cl 0.071 0.500 0.315
O1 O 0.200 0.000 0.090
```

Calculated values
Offset from the most stable computed form   0.000 eV/atom

---

Computed magnetization, in the same sequence as the records: 0.00, 2.49, 0.00 μB/f.u..
Computed raw total energy, in the same sequence as the records: -9.775, -7.722, -4.774 eV per atom.
Computed density, in the same sequence as the records: 12.13, 6.19, 6.30 g/cm3.